Density functional theory data (PBE) for a relaxed YAlMo crystal.

a = 4.344 Å, b = 5.960 Å, c = 5.546 Å
α = 106.34°, β = 113.05°, γ = 90.00°
Atoms (fractional coordinates):
Mo: 0.735 0.107 0.470
Mo: 0.265 0.893 0.530
Al: 0.634 0.632 0.269
Al: 0.366 0.368 0.731
Y: 0.936 0.725 0.872
Y: 0.064 0.275 0.128

Properties
Energy above the lowest structure with this stoichiometry, eV/f.u.: 0.00
Energy of formation, eV per atom: -0.0372

Density functional theory data (PBE) for a relaxed BeHg crystal.

a = 3.487 Å, b = 3.487 Å, c = 5.232 Å
α = 90.00°, β = 90.00°, γ = 90.00°
Atoms (fractional coordinates):
Be: 0.000 0.000 0.985
Be: 0.500 0.500 0.265
Hg: 0.000 0.000 0.444
Hg: 0.500 0.500 0.806

Properties
Energy above the lowest structure with this stoichiometry, eV/f.u.: 0.38
Energy of formation, eV per atom: 0.4856

Density functional theory data (PBE) for a relaxed B3AsSe crystal.

a = 4.185 Å, b = 4.185 Å, c = 4.185 Å
α = 90.00°, β = 90.00°, γ = 90.00°
Atoms (fractional coordinates):
As: 0.000 0.000 0.000
B: 0.000 0.500 0.000
B: 0.000 0.000 0.500
B: 0.500 0.000 0.000
Se: 0.500 0.500 0.500

Properties
E_form (uncorrected), meV per atom: 1746
Energy above the lowest structure with this stoichiometry, eV/f.u.: 0.00

Density functional theory data (PBE) for a relaxed PuThSc2 crystal.

a = 3.649 Å, b = 5.448 Å, c = 5.448 Å
α = 90.00°, β = 90.00°, γ = 90.00°
Each line ends with the local moment (μB).
Atoms (fractional coordinates):
Sc: 0.000 0.000 0.500  0.08
Sc: 0.000 0.500 0.000  0.08
Th: 0.500 0.000 0.000  -0.06
Pu: 0.500 0.500 0.500  5.44

Properties
Energy above the lowest structure with this stoichiometry, eV/f.u.: 0.16
Energy of formation, eV per atom: 0.1398

Density functional theory data (PBE) for a relaxed Zr3NiAs crystal.

a = 4.824 Å, b = 4.824 Å, c = 4.824 Å
α = 90.00°, β = 90.00°, γ = 90.00°
Atoms (fractional coordinates):
Ni: 0.000 0.000 0.000
As: 0.500 0.500 0.500
Zr: 0.000 0.500 0.000
Zr: 0.000 0.000 0.500
Zr: 0.500 0.000 0.000

Properties
Energy above the lowest structure with this stoichiometry, eV/f.u.: 0.00
Energy of formation, eV per atom: 0.0618

Density functional theory data (PBE) for a relaxed Ta2ZnI2 crystal.

a = 3.969 Å, b = 3.969 Å, c = 10.137 Å
α = 78.71°, β = 78.71°, γ = 90.00°
Atoms (fractional coordinates):
I: 0.358 0.358 0.283
I: 0.642 0.642 0.717
Zn: 0.000 0.000 0.000
Ta: 0.750 0.250 0.500
Ta: 0.250 0.750 0.500

Properties
E_form (uncorrected), meV per atom: 520
Energy above the lowest structure with this stoichiometry, eV/f.u.: 0.00

Density functional theory data (PBE) for a relaxed Ho5Cd4Co crystal.

a = 3.408 Å, b = 3.408 Å, c = 20.885 Å
α = 90.00°, β = 90.00°, γ = 90.00°
Each line ends with the local moment (μB).
Atoms (fractional coordinates):
Ho: 0.500 0.500 0.078  -0.13
Ho: 0.500 0.500 0.289  0.01
Ho: 0.500 0.500 0.500  0.03
Ho: 0.500 0.500 0.711  0.01
Ho: 0.500 0.500 0.922  -0.13
Cd: 0.000 0.000 0.186  0.01
Cd: 0.000 0.000 0.394  0.00
Cd: 0.000 0.000 0.606  0.00
Cd: 0.000 0.000 0.814  0.01
Co: 0.000 0.000 0.000  0.93

Properties
Energy of formation, eV per atom: -0.2753

Density functional theory data (PBE) for a relaxed ThCdPd4 crystal.

a = 4.218 Å, b = 5.843 Å, c = 9.739 Å
α = 90.00°, β = 102.51°, γ = 90.00°
Atoms (fractional coordinates):
Th: 0.415 0.250 0.830
Th: 0.585 0.750 0.170
Cd: 0.728 0.250 0.455
Cd: 0.272 0.750 0.545
Pd: 0.000 0.000 0.000
Pd: 0.000 0.500 0.000
Pd: 0.151 0.011 0.302
Pd: 0.849 0.511 0.698
Pd: 0.151 0.489 0.302
Pd: 0.849 0.989 0.698
Pd: 0.575 0.250 0.150
Pd: 0.425 0.750 0.850

Properties
Energy of formation, eV per atom: -0.6972

Density functional theory data (PBE) for a relaxed DyThCoPt crystal.

a = 4.956 Å, b = 4.956 Å, c = 4.956 Å
α = 60.00°, β = 60.00°, γ = 60.00°
Each line ends with the local moment (μB).
Atoms (fractional coordinates):
Co: 0.750 0.750 0.750  0.35
Pt: 0.250 0.250 0.250  0.01
Th: 0.000 0.000 0.000  -0.02
Dy: 0.500 0.500 0.500  -0.03

Properties
Energy above the lowest structure with this stoichiometry, eV/f.u.: 0.75
Energy of formation, eV per atom: -0.5934

Density functional theory data (PBE) for a relaxed LaMn2Ag crystal.

a = 9.820 Å, b = 9.820 Å, c = 9.820 Å
α = 18.58°, β = 18.58°, γ = 18.58°
Each line ends with the local moment (μB).
Atoms (fractional coordinates):
Ag: 0.250 0.250 0.250  0.06
La: 0.750 0.750 0.750  -0.26
Mn: 0.991 0.991 0.991  3.89
Mn: 0.509 0.509 0.509  3.89

Properties
Energy of formation, eV per atom: 0.5805

Density functional theory data (PBE) for a relaxed La3YAg4 crystal.

a = 3.749 Å, b = 3.749 Å, c = 15.338 Å
α = 90.00°, β = 90.00°, γ = 90.00°
Atoms (fractional coordinates):
Y: 0.500 0.500 0.000
Ag: 0.000 0.000 0.890
Ag: 0.000 0.000 0.110
Ag: 0.000 0.000 0.373
Ag: 0.000 0.000 0.627
La: 0.500 0.500 0.244
La: 0.500 0.500 0.500
La: 0.500 0.500 0.756

Properties
Energy of formation, eV per atom: -0.2739

Density functional theory data (PBE) for a relaxed CuTeMo3 crystal.

a = 4.587 Å, b = 4.587 Å, c = 4.587 Å
α = 90.00°, β = 90.00°, γ = 90.00°
Atoms (fractional coordinates):
Mo: 0.000 0.500 0.000
Mo: 0.000 0.000 0.500
Mo: 0.500 0.000 0.000
Te: 0.500 0.500 0.500
Cu: 0.000 0.000 0.000

Properties
E_form (uncorrected), meV per atom: 1512
Energy above the lowest structure with this stoichiometry, eV/f.u.: 0.00

| no. | size of the total moment (μB per formula unit) |
| --- | --- |
| 1 | 0.000 |
| 2 | 0.000 |
| 3 | 0.000 |
| 4 | 5.945 |
| 5 | 0.000 |
| 6 | 0.000 |
| 7 | 0.754 |
| 8 | 0.000 |
| 9 | 0.295 |
| 10 | 7.949 |
| 11 | 0.003 |
| 12 | 0.005 |